# 1
# Ca2Si2Hg, relaxed, DFT PBE-GGA
data_Ca2Si2Hg
_space_group_name_H-M_alt 'P 4/m b m'
_space_group_IT_number 127
_space_group_name_Hall '-P 4 2ab'
_cell_length_a 7.317
_cell_length_b 7.317
_cell_length_c 4.366
_cell_angle_alpha 90.00
_cell_angle_beta 90.00
_cell_angle_gamma 90.00
loop_
_atom_site_label
_atom_site_type_symbol
_atom_site_fract_x
_atom_site_fract_y
_atom_site_fract_z
Ca1 Ca 0.179 0.321 0.000
Si1 Si 0.113 0.613 0.500
Hg1 Hg 0.000 0.000 0.500
# E (eV for the cell shown): -34.1
# Uncorrected formation energy (kJ per mole of atoms): -36.59
# Size of the total moment (μB/cell): 0.00

# 2
# NbTe2PbSe, relaxed, DFT PBE-GGA
data_NbTe2PbSe
_space_group_name_H-M_alt 'P 4/m m m'
_space_group_IT_number 123
_space_group_name_Hall '-P 4 2'
_cell_length_a 5.417
_cell_length_b 5.417
_cell_length_c 5.519
_cell_angle_alpha 90.00
_cell_angle_beta 90.00
_cell_angle_gamma 90.00
loop_
_atom_site_label
_atom_site_type_symbol
_atom_site_fract_x
_atom_site_fract_y
_atom_site_fract_z
Nb1 Nb 0.000 0.000 0.000
Te1 Te 0.000 0.500 0.500
Pb1 Pb 0.500 0.500 0.000
Se1 Se 0.500 0.500 0.500
# E (eV for the cell shown): -18.9
# Uncorrected formation energy (kJ per mole of atoms): 90.43
# Size of the total moment (μB/cell): 3.22

# 3
# LiAs2RuSe, relaxed, DFT PBE-GGA
data_LiAs2RuSe
_space_group_name_H-M_alt 'P 4/m m m'
_space_group_IT_number 123
_space_group_name_Hall '-P 4 2'
_cell_length_a 4.629
_cell_length_b 4.629
_cell_length_c 5.666
_cell_angle_alpha 90.00
_cell_angle_beta 90.00
_cell_angle_gamma 90.00
loop_
_atom_site_label
_atom_site_type_symbol
_atom_site_fract_x
_atom_site_fract_y
_atom_site_fract_z
Li1 Li 0.000 0.000 0.000
As1 As 0.000 0.500 0.500
Ru1 Ru 0.500 0.500 0.500
Se1 Se 0.500 0.500 0.000
# E (eV for the cell shown): -23.2
# Uncorrected formation energy (kJ per mole of atoms): 15.41
# Size of the total moment (μB/cell): 0.03

# 4
# YZnCr2, relaxed, DFT PBE-GGA
data_YZnCr2
_space_group_name_H-M_alt 'R -3 m'
_space_group_IT_number 166
_space_group_name_Hall '-R 3 2"'
_cell_length_a 3.1878
_cell_length_b 3.1878
_cell_length_c 26.4624
_cell_angle_alpha 90.00
_cell_angle_beta 90.00
_cell_angle_gamma 120.00
loop_
_atom_site_label
_atom_site_type_symbol
_atom_site_fract_x
_atom_site_fract_y
_atom_site_fract_z
Y1 Y 0.0000 0.0000 0.0000
Zn1 Zn 0.0000 0.0000 0.5000
Cr1 Cr 0.0000 0.0000 0.2409
# E (eV for the cell shown): -72.9
# Size of the total moment (μB/cell): 19.93
# ΔH_f (0 K) (eV per atom): 0.67

# 5
# ZrCoBr, relaxed, DFT PBE-GGA
data_ZrCoBr
_space_group_name_H-M_alt 'I 4 m m'
_space_group_IT_number 107
_space_group_name_Hall 'I 4 -2'
_cell_length_a 3.237
_cell_length_b 3.237
_cell_length_c 10.963
_cell_angle_alpha 90.00
_cell_angle_beta 90.00
_cell_angle_gamma 90.00
loop_
_atom_site_label
_atom_site_type_symbol
_atom_site_fract_x
_atom_site_fract_y
_atom_site_fract_z
Zr1 Zr 0.000 0.000 0.000
Co1 Co 0.000 0.000 0.382
Br1 Br 0.000 0.000 0.688
# E (eV for the cell shown): -35.2
# Uncorrected formation energy (kJ per mole of atoms): -9.36
# Size of the total moment (μB/cell): 0.00

# 6
# LaEr2Cr2C4, relaxed, DFT PBE-GGA
data_LaEr2Cr2C4
_space_group_name_H-M_alt 'C 1 2/m 1'
_space_group_IT_number 12
_cell_length_a 13.540
_cell_length_b 3.294
_cell_length_c 5.953
_cell_angle_alpha 90.00
_cell_angle_beta 113.76
_cell_angle_gamma 90.00
loop_
_space_group_symop_operation_xyz
'x,y,z'
'-x,-y,-z'
'-x,y,-z'
'x,-y,z'
'x+1/2,y+1/2,z'
'-x+1/2,-y+1/2,-z'
'-x+1/2,y+1/2,-z'
'x+1/2,-y+1/2,z'
loop_
_atom_site_label
_atom_site_type_symbol
_atom_site_fract_x
_atom_site_fract_y
_atom_site_fract_z
La1 La 0.000 0.000 0.000
Er1 Er 0.148 0.000 0.540
Cr1 Cr 0.176 0.500 0.973
C1 C 0.021 0.500 0.630
C2 C 0.223 0.000 0.200
# E (eV for the cell shown): -142.2
# Size of the total moment (μB/cell): 0.00
# ΔH_f (0 K) (eV per atom): -0.10

# 7
# TcRhCl, relaxed, DFT PBE-GGA
data_TcRhCl
_space_group_name_H-M_alt 'F m m 2'
_space_group_IT_number 42
_space_group_name_Hall 'F 2 -2'
_cell_length_a 2.830
_cell_length_b 5.056
_cell_length_c 13.340
_cell_angle_alpha 90.00
_cell_angle_beta 90.00
_cell_angle_gamma 90.00
loop_
_atom_site_label
_atom_site_type_symbol
_atom_site_fract_x
_atom_site_fract_y
_atom_site_fract_z
Tc1 Tc 0.000 0.000 0.000
Rh1 Rh 0.000 0.000 0.661
Cl1 Cl 0.000 0.000 0.348
# E (eV for the cell shown): -73.1
# Uncorrected formation energy (kJ per mole of atoms): 41.63
# Size of the total moment (μB/cell): 2.99

# 8
# SrTlSe2N, relaxed, DFT PBE-GGA
data_SrTlSe2N
_space_group_name_H-M_alt 'P 4/m m m'
_space_group_IT_number 123
_space_group_name_Hall '-P 4 2'
_cell_length_a 5.552
_cell_length_b 5.552
_cell_length_c 4.412
_cell_angle_alpha 90.00
_cell_angle_beta 90.00
_cell_angle_gamma 90.00
loop_
_atom_site_label
_atom_site_type_symbol
_atom_site_fract_x
_atom_site_fract_y
_atom_site_fract_z
Sr1 Sr 0.000 0.000 0.000
Tl1 Tl 0.500 0.500 0.500
Se1 Se 0.000 0.500 0.500
N1 N 0.500 0.500 0.000
# E (eV for the cell shown): -18.8
# Uncorrected formation energy (kJ per mole of atoms): 9.93
# Size of the total moment (μB/cell): 2.08

# 9
# MgZr2HgOs, relaxed, DFT PBE-GGA
data_MgZr2HgOs
_space_group_name_H-M_alt 'P 4/m m m'
_space_group_IT_number 123
_space_group_name_Hall '-P 4 2'
_cell_length_a 5.208
_cell_length_b 5.208
_cell_length_c 4.987
_cell_angle_alpha 90.00
_cell_angle_beta 90.00
_cell_angle_gamma 90.00
loop_
_atom_site_label
_atom_site_type_symbol
_atom_site_fract_x
_atom_site_fract_y
_atom_site_fract_z
Mg1 Mg 0.000 0.000 0.000
Zr1 Zr 0.000 0.500 0.500
Hg1 Hg 0.500 0.500 0.500
Os1 Os 0.500 0.500 0.000
# E (eV for the cell shown): -23.2
# Size of the total moment (μB/cell): 0.00
# ΔH_f (0 K) (eV per atom): 1.41

# 10
# BaTeSeI2, relaxed, DFT PBE-GGA
data_BaTeSeI2
_space_group_name_H-M_alt 'P 4/m m m'
_space_group_IT_number 123
_space_group_name_Hall '-P 4 2'
_cell_length_a 6.714
_cell_length_b 6.714
_cell_length_c 7.067
_cell_angle_alpha 90.00
_cell_angle_beta 90.00
_cell_angle_gamma 90.00
loop_
_atom_site_label
_atom_site_type_symbol
_atom_site_fract_x
_atom_site_fract_y
_atom_site_fract_z
Ba1 Ba 0.000 0.000 0.000
Te1 Te 0.000 0.000 0.500
Se1 Se 0.500 0.500 0.500
I1 I 0.000 0.500 0.000
# E (eV for the cell shown): -12.0
# Uncorrected formation energy (kJ per mole of atoms): -7.60
# Size of the total moment (μB/cell): 4.03

# 11
# La4DyMg, relaxed, DFT PBE-GGA
data_La4DyMg
_space_group_name_H-M_alt 'P 4/m m m'
_space_group_IT_number 123
_space_group_name_Hall '-P 4 2'
_cell_length_a 3.751
_cell_length_b 3.751
_cell_length_c 14.525
_cell_angle_alpha 90.00
_cell_angle_beta 90.00
_cell_angle_gamma 90.00
loop_
_atom_site_label
_atom_site_type_symbol
_atom_site_fract_x
_atom_site_fract_y
_atom_site_fract_z
La1 La 0.000 0.000 0.153
La2 La 0.500 0.500 0.328
Dy1 Dy 0.000 0.000 0.500
Mg1 Mg 0.500 0.500 0.000
# E (eV for the cell shown): -26.0
# Size of the total moment (μB/cell): 0.00
# ΔH_f (0 K) (eV per atom): -0.02

# 12
# MgZn2Sn2, relaxed, DFT PBE-GGA
data_MgZn2Sn2
_space_group_name_H-M_alt 'I 4/m m m'
_space_group_IT_number 139
_space_group_name_Hall '-I 4 2'
_cell_length_a 4.431
_cell_length_b 4.431
_cell_length_c 12.183
_cell_angle_alpha 90.00
_cell_angle_beta 90.00
_cell_angle_gamma 90.00
loop_
_atom_site_label
_atom_site_type_symbol
_atom_site_fract_x
_atom_site_fract_y
_atom_site_fract_z
Mg1 Mg 0.000 0.000 0.000
Zn1 Zn 0.000 0.500 0.250
Sn1 Sn 0.000 0.000 0.384
# E (eV for the cell shown): -23.2
# Size of the total moment (μB/cell): 0.00
# ΔH_f (0 K) (eV per atom): 0.11

# 13
# RbUAgI6, relaxed, DFT PBE-GGA
data_RbUAgI6
_space_group_name_H-M_alt 'P -3 1 c'
_space_group_IT_number 163
_space_group_name_Hall '-P 3 2c'
_cell_length_a 7.8496
_cell_length_b 7.8496
_cell_length_c 16.5530
_cell_angle_alpha 90.00
_cell_angle_beta 90.00
_cell_angle_gamma 120.00
loop_
_atom_site_label
_atom_site_type_symbol
_atom_site_fract_x
_atom_site_fract_y
_atom_site_fract_z
Rb1 Rb 0.0000 0.0000 0.0000
U1 U 0.3333 0.6667 0.2500
Ag1 Ag 0.3333 0.6667 0.7500
I1 I 0.0060 0.3686 0.1434
# E (eV for the cell shown): -63.7
# Uncorrected formation energy (kJ per mole of atoms): -79.75
# Size of the total moment (μB/cell): 4.00

# 14
# YIn2W, relaxed, DFT PBE-GGA
data_YIn2W
_space_group_name_H-M_alt 'I m m 2'
_space_group_IT_number 44
_cell_length_a 4.023
_cell_length_b 4.579
_cell_length_c 9.600
_cell_angle_alpha 90.00
_cell_angle_beta 90.00
_cell_angle_gamma 90.00
loop_
_space_group_symop_operation_xyz
'x,y,z'
'-x,-y,z'
'-x,y,z'
'x,-y,z'
'x+1/2,y+1/2,z+1/2'
'-x+1/2,-y+1/2,z+1/2'
'-x+1/2,y+1/2,z+1/2'
'x+1/2,-y+1/2,z+1/2'
loop_
_atom_site_label
_atom_site_type_symbol
_atom_site_fract_x
_atom_site_fract_y
_atom_site_fract_z
Y1 Y 0.000 0.000 0.000
In1 In 0.000 0.000 0.507
In2 In 0.000 0.500 0.758
W1 W 0.000 0.500 0.247
# E (eV for the cell shown): -47.2
# Size of the total moment (μB/cell): 1.00
# ΔH_f (0 K) (eV per atom): 0.32

# 15
# Th2Br5, relaxed, DFT PBE-GGA
data_Th2Br5
_space_group_name_H-M_alt 'I m -3 m'
_space_group_IT_number 229
_space_group_name_Hall '-I 4 2 3'
_cell_length_a 11.558
_cell_length_b 11.558
_cell_length_c 11.558
_cell_angle_alpha 90.00
_cell_angle_beta 90.00
_cell_angle_gamma 90.00
loop_
_atom_site_label
_atom_site_type_symbol
_atom_site_fract_x
_atom_site_fract_y
_atom_site_fract_z
Th1 Th 0.000 0.000 0.236
Br1 Br 0.000 0.000 0.500
Br2 Br 0.000 0.252 0.252
# E (eV for the cell shown): -200.5
# Uncorrected formation energy (kJ per mole of atoms): -140.66
# Size of the total moment (μB/cell): 11.05

# 16
# GaCoSi, relaxed, DFT PBE-GGA
data_GaCoSi
_space_group_name_H-M_alt 'P 1 21/m 1'
_space_group_IT_number 11
_cell_length_a 2.767
_cell_length_b 3.795
_cell_length_c 7.857
_cell_angle_alpha 90.00
_cell_angle_beta 90.03
_cell_angle_gamma 90.00
loop_
_space_group_symop_operation_xyz
'x,y,z'
'-x,-y,-z'
'-x,y+1/2,-z'
'x,-y+1/2,z'
loop_
_atom_site_label
_atom_site_type_symbol
_atom_site_fract_x
_atom_site_fract_y
_atom_site_fract_z
Ga1 Ga 0.002 0.250 0.391
Co1 Co 0.500 0.250 0.121
Si1 Si 0.000 0.250 0.873
# E (eV for the cell shown): -32.9
# Uncorrected formation energy (kJ per mole of atoms): -28.70
# Size of the total moment (μB/cell): 0.00

# 17
# KZn2Os, relaxed, DFT PBE-GGA
data_KZn2Os
_space_group_name_H-M_alt 'I 41/a m d'
_space_group_IT_number 141
_cell_length_a 5.272
_cell_length_b 5.272
_cell_length_c 16.654
_cell_angle_alpha 90.00
_cell_angle_beta 90.00
_cell_angle_gamma 90.00
loop_
_space_group_symop_operation_xyz
'x,y,z'
'-x,-y,-z'
'-y+1/4,x+3/4,z+1/4'
'y+1/4,-x+3/4,-z+1/4'
'-x+1/2,-y,z+1/2'
'x+1/2,y,-z+1/2'
'y+1/4,-x+1/4,z+3/4'
'-y+1/4,x+1/4,-z+3/4'
'x,-y,-z'
'-x,y,z'
'-y+1/4,-x+1/4,-z+3/4'
'y+1/4,x+1/4,z+3/4'
'-x+1/2,y,-z+1/2'
'x+1/2,-y,z+1/2'
'y+1/4,x+3/4,-z+1/4'
'-y+1/4,-x+3/4,z+1/4'
'x+1/2,y+1/2,z+1/2'
'-x+1/2,-y+1/2,-z+1/2'
'-y+3/4,x+1/4,z+3/4'
'y+3/4,-x+1/4,-z+3/4'
'-x,-y+1/2,z'
'x,y+1/2,-z'
'y+3/4,-x+3/4,z+1/4'
'-y+3/4,x+3/4,-z+1/4'
'x+1/2,-y+1/2,-z+1/2'
'-x+1/2,y+1/2,z+1/2'
'-y+3/4,-x+3/4,-z+1/4'
'y+3/4,x+3/4,z+1/4'
'-x,y+1/2,-z'
'x,-y+1/2,z'
'y+3/4,x+1/4,-z+3/4'
'-y+3/4,-x+1/4,z+3/4'
loop_
_atom_site_label
_atom_site_type_symbol
_atom_site_fract_x
_atom_site_fract_y
_atom_site_fract_z
K1 K 0.000 0.250 0.375
Zn1 Zn 0.000 0.000 0.000
Os1 Os 0.000 0.250 0.875
# E (eV for the cell shown): -46.7
# Size of the total moment (μB/cell): 3.63
# ΔH_f (0 K) (eV per atom): 0.80

# 18
# TaW, relaxed, DFT PBE-GGA
data_TaW
_space_group_name_H-M_alt 'P 21 3'
_space_group_IT_number 198
_space_group_name_Hall 'P 2ac 2ab 3'
_cell_length_a 5.210
_cell_length_b 5.210
_cell_length_c 5.210
_cell_angle_alpha 90.00
_cell_angle_beta 90.00
_cell_angle_gamma 90.00
loop_
_atom_site_label
_atom_site_type_symbol
_atom_site_fract_x
_atom_site_fract_y
_atom_site_fract_z
Ta1 Ta 0.097 0.403 0.597
W1 W 0.097 0.903 0.403
# E (eV for the cell shown): -96.3
# Size of the total moment (μB/cell): 0.00
# ΔH_f (0 K) (eV per atom): 0.37

# 19
# Dy3ZnSn, relaxed, DFT PBE-GGA
data_Dy3ZnSn
_space_group_name_H-M_alt 'P n m a'
_space_group_IT_number 62
_cell_length_a 5.928
_cell_length_b 10.678
_cell_length_c 8.356
_cell_angle_alpha 90.00
_cell_angle_beta 90.00
_cell_angle_gamma 90.00
loop_
_space_group_symop_operation_xyz
'x,y,z'
'-x,-y,-z'
'-x+1/2,-y,z+1/2'
'x+1/2,y,-z+1/2'
'x+1/2,-y+1/2,-z+1/2'
'-x+1/2,y+1/2,z+1/2'
'-x,y+1/2,-z'
'x,-y+1/2,z'
loop_
_atom_site_label
_atom_site_type_symbol
_atom_site_fract_x
_atom_site_fract_y
_atom_site_fract_z
Dy1 Dy 0.013 0.098 0.137
Dy2 Dy 0.219 0.750 0.286
Zn1 Zn 0.083 0.250 0.430
Sn1 Sn 0.000 0.000 0.500
# E (eV for the cell shown): -81.2
# Size of the total moment (μB/cell): 0.00
# ΔH_f (0 K) (eV per atom): -0.24

# 20
# Ho4Pb3S8, relaxed, DFT PBE-GGA
data_Ho4Pb3S8
_space_group_name_H-M_alt 'C 1 2/m 1'
_space_group_IT_number 12
_cell_length_a 11.432
_cell_length_b 11.443
_cell_length_c 8.006
_cell_angle_alpha 90.00
_cell_angle_beta 134.15
_cell_angle_gamma 90.00
loop_
_space_group_symop_operation_xyz
'x,y,z'
'-x,-y,-z'
'-x,y,-z'
'x,-y,z'
'x+1/2,y+1/2,z'
'-x+1/2,-y+1/2,-z'
'-x+1/2,y+1/2,-z'
'x+1/2,-y+1/2,z'
loop_
_atom_site_label
_atom_site_type_symbol
_atom_site_fract_x
_atom_site_fract_y
_atom_site_fract_z
Ho1 Ho 0.000 0.000 0.000
Ho2 Ho 0.000 0.000 0.500
Ho3 Ho 0.250 0.250 0.000
Pb1 Pb 0.000 0.500 0.500
Pb2 Pb 0.250 0.250 0.500
S1 S 0.000 0.240 0.500
S2 S 0.000 0.242 0.000
S3 S 0.227 0.000 0.476
S4 S 0.235 0.000 0.983
# E (eV for the cell shown): -165.3
# Uncorrected formation energy (kJ per mole of atoms): -130.05
# Size of the total moment (μB/cell): 0.00